# 1
Crystalline GeBi3I at its relaxed geometry, computed with GGA-PBE.

Structure (POSCAR):
```
GeBi3I
1.0
5.901 0.000 0.000
0.000 5.901 0.000
0.000 0.000 5.901
I Ge Bi
1 1 3
direct
0.000 0.000 0.000
0.500 0.500 0.500
0.000 0.500 0.000
0.000 0.000 0.500
0.500 0.000 0.000
```

## Properties
magnetic moment = 0.0000 μB per atom
ΔE_f (raw) = 1.16 eV/atom
ΔE to the lowest computed polymorph = 650 meV per atom
SG = Pm-3m (221)

# 2
Crystalline GeBiI5 at its relaxed geometry, computed with GGA-PBE.

Structure (POSCAR):
```
GeBiI5
1.0
4.383 0.000 0.000
0.000 8.825 -0.624
0.000 -0.877 18.422
Ge Bi I
2 2 10
direct
0.750 0.158 0.074
0.250 0.842 0.926
0.250 0.366 0.388
0.750 0.634 0.612
0.250 0.073 0.304
0.750 0.113 0.924
0.750 0.278 0.501
0.250 0.377 0.086
0.250 0.492 0.701
0.750 0.508 0.299
0.750 0.623 0.914
0.250 0.722 0.499
0.250 0.887 0.076
0.750 0.927 0.696
```

## Properties
magnetic moment = 0.0000 μB per atom
ΔE_f (raw) = -0.36 eV/atom
SG = P2_1/m (11)

# 3
Crystalline GeBiI3 at its relaxed geometry, computed with GGA-PBE.

Structure (POSCAR):
```
GeBiI3
1.0
5.831 0.000 0.000
0.000 5.831 0.000
0.000 0.000 5.831
I Ge Bi
3 1 1
direct
0.000 0.500 0.000
0.000 0.000 0.500
0.500 0.000 0.000
0.000 0.000 0.000
0.500 0.500 0.500
```

## Properties
magnetic moment = 0.4002 μB per atom
ΔE_f (raw) = 0.20 eV/atom
ΔE to the lowest computed polymorph = 0 meV per atom
SG = Pm-3m (221)

# 4
Crystalline InGeBi2I at its relaxed geometry, computed with GGA-PBE.

Structure (POSCAR):
```
InGeBi2I
1.0
5.571 0.000 0.000
0.000 5.896 0.000
0.000 0.000 5.571
I Ge Bi In
1 1 2 1
direct
0.500 0.500 0.500
0.000 0.000 0.000
0.000 0.000 0.500
0.500 0.000 0.000
0.000 0.500 0.000
```

## Properties
magnetic moment = 0.0002 μB per atom
ΔE_f (raw) = 0.36 eV/atom
SG = P4/mmm (123)

# 5
Crystalline KGe2BiI8 at its relaxed geometry, computed with GGA-PBE.

Structure (POSCAR):
```
KGe2BiI8
1.0
7.734 0.241 0.304
0.294 7.360 0.267
0.383 0.358 9.609
K Ge Bi I
1 2 1 8
direct
0.000 0.000 0.500
0.465 0.454 0.744
0.535 0.546 0.256
0.000 0.000 0.000
0.173 0.743 0.229
0.675 0.763 0.023
0.831 0.253 0.225
0.827 0.257 0.771
0.325 0.237 0.977
0.169 0.747 0.775
0.641 0.719 0.471
0.359 0.281 0.529
```

## Properties
magnetic moment = 0.0000 μB per atom
ΔE_f (raw) = -0.50 eV/atom
SG = P-1 (2)

# 6
Crystalline La4GeBi2I at its relaxed geometry, computed with GGA-PBE.

Structure (POSCAR):
```
La4GeBi2I
1.0
-3.582 -0.952 2.764
4.650 -4.725 4.400
3.369 4.314 5.852
La Ge Bi I
4 1 2 1
direct
0.000 0.748 0.731
0.000 0.252 0.269
0.500 0.737 0.270
0.500 0.263 0.730
0.000 0.500 0.500
0.000 0.000 0.000
0.500 0.000 0.500
0.500 0.500 0.000
```

## Properties
magnetic moment = 0.0000 μB per atom
ΔE_f (raw) = -1.04 eV/atom
SG = P2/m (10)

Number 1: calculated total energy -12.03 eV per cell. Number 2: calculated total energy -37.54 eV per cell. Number 3: calculated total energy -12.15 eV per cell. Number 4: calculated total energy -14.87 eV per cell. Number 5: calculated total energy -32.57 eV per cell. Number 6: calculated total energy -41.95 eV per cell.